This record from the Alexandria database describes a relaxed structure of BaLaFe2. The functional is PBE.

Results
The value obtained for the formation energy is 0.443 eV per atom. As for the space group: P4/mmm (123). For the final energy, the calculation gives -5.5006 eV/atom.

abc: 3.8895 3.8867 8.2758
angles: 61.95 90.00 90.00
Last column: nearest neighbours and their distance in Å.
Fractional coordinates of all 4 atoms:
1 Fe 0.0000 0.9112 0.0892  1 Fe 2.35
2 Fe 0.0000 0.5888 0.4108  1 Fe 2.35
3 Ba 0.5000 0.7500 0.7500  2 La 3.65, 8 Fe 3.70, 4 Ba 3.89
4 La 0.5000 0.2500 0.2500  8 Fe 2.99